DFT (GGA-PBE) results for crystalline PrZnAg at its relaxed geometry.

## Properties
**V**: 25.45 Å³/atom
**DFT total energy**: -3.05 eV per atom
**Symmetry**: F-43m, No. 216

Lattice parameters (Å, degrees): 6.734 6.734 6.734 90.00 90.00 90.00
Fractional coordinates of all 12 atoms:
1 Pr 0.000 0.000 0.000
2 Pr 0.000 0.500 0.500
3 Pr 0.500 0.000 0.500
4 Pr 0.500 0.500 0.000
5 Zn 0.250 0.250 0.750
6 Zn 0.250 0.750 0.250
7 Zn 0.750 0.250 0.250
8 Zn 0.750 0.750 0.750
9 Ag 0.000 0.000 0.500
10 Ag 0.000 0.500 0.000
11 Ag 0.500 0.000 0.000
12 Ag 0.500 0.500 0.500